SnHgW after structural relaxation. Source: OQMD, functional PBE.

Unit cell a=4.629 b=4.629 c=4.629 alpha=60.00 beta=60.00 gamma=60.00
Atoms (fractional coordinates):
Sn 0.000 0.000 0.000
Hg 0.750 0.750 0.750
W 0.250 0.250 0.250

Output
Offset from the most stable computed form   333.8 meV/atom
SG   F-43m, No. 216

SnHgW after structural relaxation. Source: OQMD, functional PBE.

Unit cell a=4.662 b=4.662 c=4.662 alpha=60.00 beta=60.00 gamma=60.00
Atoms (fractional coordinates):
Sn 0.000 0.000 0.000
Hg 0.500 0.500 0.500
W 0.750 0.750 0.750

Output
Offset from the most stable computed form   0.0 meV/atom
SG   F-43m, No. 216

YSnHg after structural relaxation. Source: OQMD, functional PBE.

Unit cell a=5.049 b=5.049 c=5.049 alpha=60.00 beta=60.00 gamma=60.00
Atoms (fractional coordinates):
Y 0.000 0.000 0.000
Sn 0.250 0.250 0.250
Hg 0.750 0.750 0.750

Output
E_tot   -11.50 eV for the cell shown
SG   F-43m, No. 216

YSn2Hg after structural relaxation. Source: OQMD, functional PBE.

Unit cell a=5.325 b=5.325 c=5.325 alpha=60.00 beta=60.00 gamma=60.00
Atoms (fractional coordinates):
Y 0.000 0.000 0.000
Sn 0.500 0.500 0.500
Sn 0.750 0.750 0.750
Hg 0.250 0.250 0.250

Output
E_tot   -15.68 eV for the cell shown
SG   F-43m, No. 216